## MnZnNi3 (GGA-PBE)

Data for a geometry-optimized MnZnNi3 structure.

Computed properties:
For the total energy, the calculation gives -5.416 eV/atom. The calculated formation energy comes out at 0.7 eV per formula unit. Its space-group type is Cmcm, No. 63. The calculation puts the energy above the lowest structure with this stoichiometry at 0.2169 eV per atom. The value obtained for the density of states at the Fermi level is 0.9594 states/eV/atom.

abc: 6.4921 6.4921 4.5559
angles: 90.00 90.00 135.52
Fractional positions:
Mn 0.1414 0.8586 0.7500
Mn 0.8586 0.1414 0.2500
Zn 0.5000 0.5000 0.0000
Zn 0.5000 0.5000 0.5000
Ni 0.0967 0.4190 0.7500
Ni 0.3242 0.6758 0.2500
Ni 0.4190 0.0967 0.2500
Ni 0.5810 0.9033 0.7500
Ni 0.6758 0.3242 0.7500
Ni 0.9033 0.5810 0.2500